! LiAl8Co2 (PBE, optimized geometry); values from VASP
&SYSTEM
  ibrav = 0, nat = 11, ntyp = 3
/
ATOMIC_SPECIES
Li 6.94 Li.upf
Al 26.98 Al.upf
Co 58.93 Co.upf
CELL_PARAMETERS angstrom
3.7297 -5.3549 0.0000
3.7297 5.3549 0.0000
-1.1537 0.0000 4.3641
ATOMIC_POSITIONS crystal
Li 0.0000 0.0000 0.0000
Al 0.0746 0.3257 0.5802
Al 0.2652 0.7348 0.0000
Al 0.3257 0.0746 0.5802
Al 0.3878 0.3878 0.2128
Al 0.6122 0.6122 0.7872
Al 0.6743 0.9254 0.4198
Al 0.7348 0.2652 0.0000
Al 0.9254 0.6743 0.4198
Co 0.3043 0.6957 0.5000
Co 0.6957 0.3043 0.5000
! energy of formation = -2.4 eV/f.u.
! crystal system = monoclinic
! total moment = 0.00 μB per atom